Here is a relaxed AlCoIr crystal from Alexandria. Energies are from GGA-PBE.

POSCAR file:
```
AlCoIr
1.0
6.554 0.002 -0.001
5.751 2.582 0.013
0.803 -1.011 2.374
Ir Co Al
1 1 1
Cartesian
8.441 1.376 0.806
4.714 0.211 1.571
12.259 2.569 0.022
```

Calculated density: 11477 kg/m³
DOS(E_F): 1.232 states/eV per atom
Spin magnetization: 1.289 μB per formula unit
Polymorph energy (0 for the lowest one): 272 meV per atom
Formation enthalpy at 0 K: -0.122 eV/atom
E: -6.692 eV/atom

Here is a relaxed AlCoIr2 crystal from Alexandria. Energies are from GGA-PBE.

POSCAR file:
```
AlCoIr2
1.0
4.620 -0.003 0.000
1.571 4.345 0.000
-3.096 -2.171 2.655
Ir Co Al
2 1 1
Cartesian
0.000 0.000 0.000
0.786 2.172 1.328
2.310 -0.001 1.328
3.096 2.171 0.000
```

Calculated density: 14651 kg/m³
DOS(E_F): 0.732 states/eV per atom
Spin magnetization: 0.001 μB per formula unit
Formation enthalpy at 0 K: -0.344 eV/atom
E: -7.487 eV/atom

Here is a relaxed AlCoIr crystal from Alexandria. Energies are from GGA-PBE.

POSCAR file:
```
AlCoIr
1.0
5.014 -0.001 0.000
3.318 3.759 0.000
-4.166 -1.879 2.062
Ir Co Al
1 1 1
Cartesian
5.526 2.492 0.000
2.848 1.285 0.000
8.290 3.739 0.000
```

Calculated density: 11884 kg/m³
DOS(E_F): 0.965 states/eV per atom
Spin magnetization: 1.756 μB per formula unit
Polymorph energy (0 for the lowest one): 0 meV per atom
Formation enthalpy at 0 K: -0.394 eV/atom
E: -6.964 eV/atom

Here is a relaxed Al4Co2Ir crystal from Alexandria. Energies are from GGA-PBE.

POSCAR file:
```
Al4Co2Ir
1.0
-0.450 -1.361 3.862
3.069 -2.047 1.833
3.276 4.495 4.163
Ir Co Al
1 2 4
Cartesian
0.000 0.000 0.000
4.450 0.882 7.421
1.445 0.205 2.438
3.563 -1.195 6.585
2.331 2.282 3.273
2.115 -1.408 4.144
3.780 2.495 5.714
```

Calculated density: 7236 kg/m³
DOS(E_F): 0.690 states/eV per atom
Spin magnetization: 0.000 μB per formula unit
Formation enthalpy at 0 K: -0.596 eV/atom
E: -6.031 eV/atom

Here is a relaxed AlCo2Ir crystal from Alexandria. Energies are from GGA-PBE.

POSCAR file:
```
AlCo2Ir
1.0
-3.951 -1.729 1.175
-1.343 -2.875 -3.148
3.857 0.379 2.227
Ir Co Al
1 2 1
Cartesian
-0.066 -2.399 -0.954
0.000 0.000 0.000
-2.647 -2.302 -0.987
-1.370 -1.826 1.207
```

Calculated density: 11460 kg/m³
DOS(E_F): 0.774 states/eV per atom
Spin magnetization: 0.000 μB per formula unit
Formation enthalpy at 0 K: -0.284 eV/atom
E: -6.988 eV/atom

Here is a relaxed AlCo4Ir crystal from Alexandria. Energies are from GGA-PBE.

POSCAR file:
```
AlCo4Ir
1.0
0.000 3.318 3.318
3.318 0.000 3.318
3.318 3.318 0.000
Al Co Ir
1 4 1
Cartesian
0.000 0.000 0.000
2.485 4.151 4.151
4.151 4.151 2.485
4.151 2.485 4.151
2.485 2.485 2.485
4.977 4.977 4.977
```

Calculated density: 10340 kg/m³
DOS(E_F): 1.208 states/eV per atom
Spin magnetization: 6.990 μB per formula unit
Formation enthalpy at 0 K: -0.062 eV/atom
E: -6.900 eV/atom

The highest calculated density belongs to which entry?
AlCoIr2

What is the spin magnetization in the fourth record?
0.000 μB per formula unit